No. 1
# MgTcNF2

A relaxed MgTcNF2 crystal (PBE, the Alexandria database).

abc: 3.5619 3.5619 4.9078
angles: 90.00 90.00 90.00
With the nearest neighbours (Å) after each atom.
Positions (direct):
Tc 0.5000 0.5000 0.5000  4 N 2.52
F 0.5000 0.0000 0.0000  2 Mg 1.78
F 0.0000 0.5000 0.0000  2 Mg 1.78
N 0.0000 0.0000 0.5000  2 Mg 2.45, 4 Tc 2.52
Mg 0.0000 0.0000 0.0000  4 F 1.78

* mass density: 4.6 g cm⁻³
* size of the total moment: 3.95 μB per cell
* N(E_F): 1.1 states/eV per cell
* total energy: -5.670 eV per atom

***

No. 2
# TbSmY2

A relaxed TbSmY2 crystal (PBE, the Alexandria database).

abc: 3.6594 6.7820 6.7785
angles: 114.87 105.64 105.64
With the nearest neighbours (Å) after each atom.
Positions (direct):
Sm 0.3331 0.5909 0.9583  7 Y 3.54-3.66, 3 Tb 3.55-3.56, 2 Sm 3.66
Y 0.3340 0.0932 0.4580  3 Tb 3.54-3.55, 5 Y 3.55-3.66, 4 Sm 3.64-3.66
Y 0.6667 0.6765 0.5418  3 Sm 3.54-3.56, 5 Y 3.55-3.66, 4 Tb 3.65
Tb 0.6662 0.1754 0.0418  7 Y 3.54-3.65, 3 Sm 3.55-3.56, 2 Tb 3.66

* formation energy: 10.7 meV/atom
* mass density: 6.1 g cm⁻³
* size of the total moment: 0.00 μB per cell
* N(E_F): 7.2 states/eV per cell
* total energy: -5.559 eV per atom

***

No. 3
# YH2Pb

A relaxed YH2Pb crystal (PBE, the Alexandria database).

abc: 4.4374 4.4374 4.4374
angles: 60.00 60.00 60.00
With the nearest neighbours (Å) after each atom.
Positions (direct):
Pb 0.5000 0.5000 0.5000  8 H 2.72
H 0.7500 0.7500 0.7500  4 Pb 2.72, 4 Y 2.72
H 0.2500 0.2500 0.2500  4 Pb 2.72, 4 Y 2.72
Y 0.0000 0.0000 0.0000  8 H 2.72

* mass density: 8.0 g cm⁻³
* size of the total moment: 0.00 μB per cell
* N(E_F): 1.9 states/eV per cell
* total energy: -4.102 eV per atom

***

No. 4
# FeIrOs3

A relaxed FeIrOs3 crystal (PBE, the Alexandria database).

abc: 4.3393 4.3393 4.3393
angles: 90.00 90.00 90.00
With the nearest neighbours (Å) after each atom.
Positions (direct):
Fe 0.0000 0.0000 0.0000  6 Os 2.17
Ir 0.5000 0.5000 0.5000  12 Os 3.07
Os 0.0000 0.0000 0.5000  2 Fe 2.17
Os 0.5000 0.0000 0.0000  2 Fe 2.17
Os 0.0000 0.5000 0.0000  2 Fe 2.17

* formation energy: 1847.6 meV/atom
* mass density: 16.6 g cm⁻³
* size of the total moment: 0.00 μB per cell
* N(E_F): 5.8 states/eV per cell
* total energy: -8.355 eV per atom

***

No. 5
# Pm3Y2TmSe6

A relaxed Pm3Y2TmSe6 crystal (PBE, the Alexandria database).

abc: 4.0968 8.3395 9.2651
angles: 104.08 102.77 90.00
With the nearest neighbours (Å) after each atom.
Positions (direct):
Se 0.6618 0.0878 0.3237  1 Tm 2.83, 2 Y 2.89, 3 Pm 2.97
Se 0.3382 0.9122 0.6763  1 Tm 2.83, 2 Y 2.89, 3 Pm 2.97
Se 0.6685 0.5772 0.3370  3 Y 2.87-2.88, 3 Pm 2.95-2.96
Se 0.9983 0.7610 0.9966  2 Tm 2.85, 1 Y 2.90, 3 Pm 2.98-2.99
Se 0.3315 0.4228 0.6630  3 Y 2.87-2.88, 3 Pm 2.95-2.96
Se 0.0017 0.2390 0.0034  2 Tm 2.85, 1 Y 2.90, 3 Pm 2.98-2.99
Pm 0.8316 0.1665 0.6631  6 Se 2.96-2.98
Pm 0.1684 0.8335 0.3369  6 Se 2.96-2.98
Pm 0.5000 0.5000 0.0000  6 Se 2.95-2.99
Y 0.1675 0.3346 0.3350  6 Se 2.87-2.90
Y 0.8325 0.6654 0.6650  6 Se 2.87-2.90
Tm 0.5000 0.0000 0.0000  6 Se 2.83-2.85

* mass density: 7.0 g cm⁻³
* size of the total moment: 0.00 μB per cell
* N(E_F): 5.5 states/eV per cell
* total energy: -6.167 eV per atom

***

No. 6
# ZnSbTe2

A relaxed ZnSbTe2 crystal (PBE, the Alexandria database).

abc: 9.1900 9.1900 9.1900
angles: 28.22 28.22 28.22
With the nearest neighbours (Å) after each atom.
Positions (direct):
Sb 0.5000 0.5000 0.5000  6 Te 3.13
Zn 0.0000 0.0000 0.0000  2 Te 2.64
Te 0.9003 0.9003 0.9003  1 Zn 2.64
Te 0.0997 0.0997 0.0997  1 Zn 2.64

* mass density: 4.8 g cm⁻³
* size of the total moment: 0.00 μB per cell
* N(E_F): 3.6 states/eV per cell
* total energy: -2.799 eV per atom

***

No. 7
# Li3NiPt3

A relaxed Li3NiPt3 crystal (PBE, the Alexandria database).

abc: 5.0532 5.0532 5.0532
angles: 108.92 108.92 108.92
With the nearest neighbours (Å) after each atom.
Positions (direct):
Ni 0.9341 0.9341 0.9341  6 Pt 2.52-2.54, 3 Li 2.78
Pt 0.4573 0.9669 0.9669  6 Li 2.51-2.62, 2 Ni 2.52-2.54
Pt 0.9669 0.4573 0.9669  6 Li 2.51-2.62, 2 Ni 2.52-2.54
Pt 0.9669 0.9669 0.4573  6 Li 2.51-2.62, 2 Ni 2.52-2.54
Li 0.4654 0.9446 0.4654  6 Pt 2.51-2.62, 1 Ni 2.78
Li 0.4654 0.4654 0.9446  6 Pt 2.51-2.62, 1 Ni 2.78
Li 0.9446 0.4654 0.4654  6 Pt 2.51-2.62, 1 Ni 2.78

* formation energy: -362.2 meV/atom
* mass density: 10.9 g cm⁻³
* size of the total moment: 0.00 μB per cell
* N(E_F): 3.3 states/eV per cell
* total energy: -4.597 eV per atom

***

No. 8
# YMnW2

A relaxed YMnW2 crystal (PBE, the Alexandria database).

abc: 4.7714 2.8489 5.1899
angles: 80.00 90.00 90.00
With the nearest neighbours (Å) after each atom.
Positions (direct):
W 0.0000 0.9693 0.9929  5 W 2.74-3.00, 2 Mn 2.82, 2 Y 2.91
W 0.0000 0.5307 0.5071  5 W 2.74-3.00, 2 Mn 2.82, 2 Y 2.91
Y 0.5000 0.2500 0.2500  2 Mn 2.73, 2 Y 2.85, 4 W 2.91
Mn 0.5000 0.7500 0.7500  2 Y 2.73, 4 W 2.82, 2 Mn 2.85

* formation energy: 574.8 meV/atom
* mass density: 12.2 g cm⁻³
* size of the total moment: 1.53 μB per cell
* N(E_F): 4.0 states/eV per cell
* total energy: -9.810 eV per atom